1.
The following is a DFT calculation (PBE) of an optimized crystal structure of ZrGa2Rh.

The calculation puts the spin magnetization at 0.00 μB per formula unit. For the volume, the calculation gives 16.711 A^3/atom. The formation energy comes out at -567 meV per atom. The total DFT energy (no corrections) comes out at -24.2 eV per cell.

Cell lengths 4.0184, 4.0184, 4.1397 Å; angles 90.00, 90.00, 90.00 degrees
Last column: nearest neighbours and their distance in Å.
Space group P4/mmm (No. 123)
Symmetry-distinct sites (fractional):
Zr1 0.0000 0.0000 0.0000 [1 per cell]  4 Rh 2.84, 8 Ga 2.88
Ga1 0.0000 0.5000 0.5000 [2 per cell]  4 Ga 2.84, 4 Zr 2.88, 4 Rh 2.88
Rh1 0.5000 0.5000 0.0000 [1 per cell]  4 Zr 2.84, 8 Ga 2.88


2.
The following is a DFT calculation (PBE) of an optimized crystal structure of Mg2SiPd5.

The calculation puts the spin magnetization at 0.00 μB per formula unit. The calculation puts the formation energy (no corrections) at -70 kJ/mol of atoms. For the volume, the calculation gives 15.011 A^3/atom. The total DFT energy (no corrections) comes out at -80.7 eV per cell.

Cell lengths 5.4847, 10.6155, 4.1252 Å; angles 90.00, 90.00, 90.00 degrees
Last column: nearest neighbours and their distance in Å.
Space group Pbam (No. 55)
Symmetry-distinct sites (fractional):
Mg1 0.1621 0.1437 0.0000 [4 per cell]  10 Pd 2.67-2.86
Si1 0.0000 0.5000 0.5000 [2 per cell]  8 Pd 2.50-2.74
Pd1 0.0000 0.0000 0.5000 [2 per cell]  4 Mg 2.71, 2 Si 2.74, 6 Pd 2.88-2.92
Pd2 0.0800 0.7323 0.5000 [4 per cell]  1 Si 2.50, 4 Mg 2.67-2.78, 2 Pd 2.77
Pd3 0.1771 0.3995 0.0000 [4 per cell]  2 Si 2.52, 3 Mg 2.70-2.74


3.
The following is a DFT calculation (PBE) of an optimized crystal structure of CaAl2Hg.

The calculation puts the spin magnetization at 0.00 μB per formula unit. For the volume, the calculation gives 23.309 A^3/atom. The formation energy comes out at -47 meV per atom. The total DFT energy (no corrections) comes out at -10.0 eV per cell.

Cell lengths 3.6319, 3.6319, 7.0685 Å; angles 90.00, 90.00, 90.00 degrees
Last column: nearest neighbours and their distance in Å.
Space group P4/mmm (No. 123)
Symmetry-distinct sites (fractional):
Ca1 0.0000 0.0000 0.0000 [1 per cell]  8 Al 3.35, 2 Hg 3.53, 4 Ca 3.63
Al1 0.5000 0.5000 0.3033 [2 per cell]  1 Al 2.78, 4 Hg 2.92
Hg1 0.0000 0.0000 0.5000 [1 per cell]  8 Al 2.92


4.
The following is a DFT calculation (PBE) of an optimized crystal structure of Ba3Sr3NbO8.

The calculation puts the spin magnetization at 0.00 μB per formula unit. The calculation puts the formation energy (no corrections) at -250 kJ/mol of atoms. For the volume, the calculation gives 19.564 A^3/atom. The total DFT energy (no corrections) comes out at -298.3 eV per cell.

Cell lengths 7.3463, 7.3463, 18.8367 Å; angles 90.00, 90.00, 120.00 degrees
Last column: nearest neighbours and their distance in Å.
Space group R-3m (No. 166, hexagonal axes)
Symmetry-distinct sites (fractional):
Ba1 0.0000 0.5000 0.0000 [9 per cell]  6 O 2.73-2.77
Sr1 0.0000 0.5000 0.5000 [9 per cell]  6 O 2.55-2.63
Nb1 0.0000 0.0000 0.5000 [3 per cell]  6 O 2.07
O1 0.0000 0.0000 0.2418 [6 per cell]  3 Sr 2.55, 3 Ba 2.73
O2 0.0644 0.5322 0.2286 [18 per cell]  1 Nb 2.07


5.
The following is a DFT calculation (PBE) of an optimized crystal structure of TeOsSe2.

The calculation puts the spin magnetization at 0.26 μB per formula unit. The calculation puts the formation energy (no corrections) at 85 kJ/mol of atoms. For the volume, the calculation gives 19.001 A^3/atom. The total DFT energy (no corrections) comes out at -71.3 eV per cell.

Cell lengths 6.7241, 6.7241, 6.7241 Å; angles 90.00, 90.00, 90.00 degrees
Last column: nearest neighbours and their distance in Å.
Space group F-43m (No. 216)
Symmetry-distinct sites (fractional):
Te1 0.0000 0.0000 0.0000 [4 per cell]  4 Se 2.91, 4 Os 2.91
Os1 0.2500 0.2500 0.2500 [4 per cell]  4 Se 2.91, 4 Te 2.91
Se1 0.0000 0.0000 0.5000 [4 per cell]  4 Os 2.91, 4 Se 2.91
Se2 0.2500 0.2500 0.7500 [4 per cell]  4 Se 2.91, 4 Te 2.91


6.
The following is a DFT calculation (PBE) of an optimized crystal structure of LiMg2SnAu4.

The calculation puts the spin magnetization at 0.00 μB per formula unit. For the volume, the calculation gives 18.481 A^3/atom. The formation energy comes out at -469 meV per atom. The total DFT energy (no corrections) comes out at -77.9 eV per cell.

Cell lengths 4.6185, 4.6185, 24.0100 Å; angles 90.00, 90.00, 120.00 degrees
Last column: nearest neighbours and their distance in Å.
Space group R-3m (No. 166, hexagonal axes)
Symmetry-distinct sites (fractional):
Li1 0.0000 0.0000 0.0000 [3 per cell]  8 Au 2.78-2.80
Mg1 0.0000 0.0000 0.2547 [6 per cell]  7 Au 2.74-2.86
Sn1 0.0000 0.0000 0.5000 [3 per cell]  8 Au 2.93-3.15
Au1 0.0000 0.0000 0.1159 [6 per cell]  1 Li 2.78, 3 Mg 2.81, 3 Sn 2.93
Au2 0.0000 0.0000 0.3689 [6 per cell]  4 Mg 2.74-2.86, 3 Li 2.80


7.
The following is a DFT calculation (PBE) of an optimized crystal structure of Ba3Mg2Zn4Ga2.

The calculation puts the spin magnetization at 0.00 μB per formula unit. For the volume, the calculation gives 29.397 A^3/atom. The formation energy comes out at -160 meV per atom. The total DFT energy (no corrections) comes out at -21.9 eV per cell.

Cell lengths 4.7061, 4.7061, 16.8594 Å; angles 90.00, 90.00, 120.00 degrees
Last column: nearest neighbours and their distance in Å.
Space group P-3m1 (No. 164)
Symmetry-distinct sites (fractional):
Ba1 0.0000 0.0000 0.0000 [1 per cell]  6 Zn 3.57, 6 Ga 3.62
Ba2 0.0000 0.0000 0.2717 [2 per cell]  6 Zn 3.39-3.54, 3 Ga 3.49
Mg1 0.3333 0.6667 0.5578 [2 per cell]  4 Zn 2.79-2.84
Zn1 0.3333 0.6667 0.3922 [2 per cell]  4 Mg 2.79-2.84
Zn2 0.3333 0.6667 0.8626 [2 per cell]  3 Ga 2.72
Ga1 0.3333 0.6667 0.1420 [2 per cell]  3 Zn 2.72


8.
The following is a DFT calculation (PBE) of an optimized crystal structure of Ca2SbPb2.

The calculation puts the spin magnetization at 0.00 μB per formula unit. The calculation puts the formation energy (no corrections) at -35 kJ/mol of atoms. For the volume, the calculation gives 33.262 A^3/atom. The total DFT energy (no corrections) comes out at -34.7 eV per cell.

Cell lengths 4.2485, 4.2485, 18.4280 Å; angles 90.00, 90.00, 90.00 degrees
Last column: nearest neighbours and their distance in Å.
Space group I4/mmm (No. 139)
Symmetry-distinct sites (fractional):
Ca1 0.0000 0.0000 0.0937 [4 per cell]  1 Ca 3.46, 4 Sb 3.47, 4 Pb 3.58
Sb1 0.0000 0.0000 0.5000 [2 per cell]  8 Ca 3.47
Pb1 0.0000 0.5000 0.2500 [4 per cell]  4 Pb 3.00


9.
The following is a DFT calculation (PBE) of an optimized crystal structure of LaCeLuGa.

The calculation puts the spin magnetization at 1.36 μB per formula unit. For the volume, the calculation gives 27.881 A^3/atom. The formation energy comes out at -78 meV per atom. The total DFT energy (no corrections) comes out at -74.9 eV per cell.

Cell lengths 7.6409, 7.6409, 7.6409 Å; angles 90.00, 90.00, 90.00 degrees
Last column: nearest neighbours and their distance in Å.
Space group F-43m (No. 216)
Symmetry-distinct sites (fractional):
La1 0.0000 0.0000 0.0000 [4 per cell]  4 Lu 3.31, 4 Ga 3.31
Ce1 0.0000 0.0000 0.5000 [4 per cell]  4 Lu 3.31, 4 Ga 3.31
Lu1 0.2500 0.2500 0.2500 [4 per cell]  4 La 3.31, 4 Ce 3.31
Ga1 0.2500 0.2500 0.7500 [4 per cell]  4 La 3.31, 4 Ce 3.31


10.
The following is a DFT calculation (PBE) of an optimized crystal structure of YHg2Cl.

The calculation puts the spin magnetization at 0.00 μB per formula unit. The calculation puts the formation energy (no corrections) at -55 kJ/mol of atoms. For the volume, the calculation gives 30.576 A^3/atom. The total DFT energy (no corrections) comes out at -44.8 eV per cell.

Cell lengths 9.5310, 9.5310, 5.3855 Å; angles 90.00, 90.00, 90.00 degrees
Last column: nearest neighbours and their distance in Å.
Space group I-42d (No. 122)
Symmetry-distinct sites (fractional):
Y1 0.0000 0.0000 0.0000 [4 per cell]  2 Cl 2.69
Hg1 0.1934 0.2500 0.1250 [8 per cell]  2 Hg 2.90, 2 Y 3.09
Cl1 0.0000 0.0000 0.5000 [4 per cell]  2 Y 2.69


11.
The following is a DFT calculation (PBE) of an optimized crystal structure of Tb3Y4Tm2.

The calculation puts the spin magnetization at 0.00 μB per formula unit. For the volume, the calculation gives 31.662 A^3/atom. The formation energy comes out at 103 meV per atom. The total DFT energy (no corrections) comes out at -191.1 eV per cell.

Cell lengths 16.3083, 11.5349, 6.0944 Å; angles 90.00, 96.16, 90.00 degrees
Last column: nearest neighbours and their distance in Å.
Space group C2/c (No. 15)
Symmetry-distinct sites (fractional):
Tb1 0.0000 0.0947 0.2500 [4 per cell]  4 Tm 3.34-3.46, 4 Y 3.47-3.49
Tb2 0.1676 0.4017 0.0786 [8 per cell]  6 Y 3.38-3.51, 2 Tm 3.45-3.51
Y1 0.0465 0.3588 0.5131 [8 per cell]  1 Tm 3.27, 4 Tb 3.40-3.51, 3 Y 3.40-3.59
Y2 0.2109 0.1385 0.3488 [8 per cell]  1 Y 3.34, 4 Tb 3.38-3.49, 3 Tm 3.39-3.56
Tm1 0.1185 0.1412 0.8205 [8 per cell]  4 Y 3.27-3.56, 4 Tb 3.34-3.51


12.
The following is a DFT calculation (PBE) of an optimized crystal structure of Tc3Ni5.

The calculation puts the spin magnetization at 0.00 μB per formula unit. For the volume, the calculation gives 12.860 A^3/atom. The formation energy comes out at 313 meV per atom. The total DFT energy (no corrections) comes out at -115.0 eV per cell.

Cell lengths 7.2518, 7.2518, 4.5168 Å; angles 90.00, 90.00, 120.00 degrees
Last column: nearest neighbours and their distance in Å.
Space group P6_3/mcm (No. 193)
Symmetry-distinct sites (fractional):
Tc1 0.0000 0.4115 0.2500 [6 per cell]  8 Ni 2.46-2.75, 2 Tc 2.60
Ni1 0.0000 0.1954 0.7500 [6 per cell]  6 Ni 2.45-2.67, 4 Tc 2.59-2.75
Ni2 0.3333 0.6667 0.0000 [4 per cell]  2 Ni 2.26, 6 Tc 2.46


Question: spin magnetization of number 9 (LaCeLuGa)?
Answer: 1.36 μB per formula unit


Question: Which of these has the lowest volume?
Answer: Tc3Ni5


Question: Which formula does entry 1 have?
Answer: ZrGa2Rh